(1)
The following is a GGA-PBE calculation of SiBiSCl2 after structural relaxation, from Alexandria.

abc: 5.3450 5.3450 5.4848
angles: 90.00 90.00 90.00
Closest atoms and distances in Å follow each position.
Fractional coordinates of all 5 atoms:
S  0.0000  0.0000  0.5000  2 Bi 2.74
Si  0.5000  0.5000  0.5000  4 S 3.78, 8 Cl 3.83
Bi  0.0000  0.0000  0.0000  4 Cl 2.67, 2 S 2.74
Cl  0.0000  0.5000  0.0000  2 Bi 2.67
Cl  0.5000  0.0000  0.0000  2 Bi 2.67

Results
- Calculated volume: 31.34 Å³/atom
- Fermi-level density of states: 2.55 states/eV/f.u.

=====

(2)
The following is a GGA-PBE calculation of SiBiSCl2 after structural relaxation, from Alexandria.

abc: 4.7857 4.7857 4.9408
angles: 90.00 90.00 90.00
Closest atoms and distances in Å follow each position.
Fractional coordinates of all 5 atoms:
S  0.0000  0.0000  0.5000  2 Si 2.47
Si  0.0000  0.0000  0.0000  4 Cl 2.39, 2 S 2.47
Bi  0.5000  0.5000  0.5000  4 S 3.38, 8 Cl 3.44
Cl  0.0000  0.5000  0.0000  2 Si 2.39
Cl  0.5000  0.0000  0.0000  2 Si 2.39

Results
- Calculated volume: 22.63 Å³/atom
- Fermi-level density of states: 3.35 states/eV/f.u.

=====

Ordering by calculated energy gives the sequence (2), (1), with the first entry being the most stable.